Run A
{
  "formula": "Sc3TlS",
  "functional": "PBE",
  "state": "optimized geometry",
  "lattice": [[-2.724, 2.724, 9.057], [2.724, -2.724, 9.057], [2.724, 2.724, -9.057]],
  "species": ["Sc", "Sc", "Sc", "Sc", "Sc", "Sc", "Tl", "Tl", "S", "S"],
  "frac_coords": [[0.221, 0.221, 0.000], [0.373, 0.619, 0.754], [0.381, 0.135, 0.754], [0.381, 0.627, 0.246], [0.779, 0.779, 0.000], [0.865, 0.619, 0.246], [0.656, 0.156, 0.500], [0.844, 0.344, 0.500], [0.250, 0.750, 0.500], [0.500, 0.500, 0.000]],
  "spacegroup": "I-4m2",
  "rho_g_cm3": 4.6,
  "crystal_system": "tetragonal"
}

---

Run B
{
  "formula": "Sc3TlS",
  "functional": "PBE",
  "state": "optimized geometry",
  "lattice": [[4.318, -6.228, 0.000], [4.318, 6.228, 0.000], [0.000, 0.000, 4.690]],
  "species": ["Sc", "Sc", "Sc", "Sc", "Sc", "Sc", "Tl", "Tl", "S", "S"],
  "frac_coords": [[0.000, 0.000, 0.000], [0.000, 0.000, 0.500], [0.222, 0.434, 0.750], [0.434, 0.222, 0.250], [0.566, 0.778, 0.750], [0.778, 0.566, 0.250], [0.212, 0.788, 0.250], [0.788, 0.212, 0.750], [0.429, 0.571, 0.250], [0.571, 0.429, 0.750]],
  "spacegroup": "Cmcm",
  "rho_g_cm3": 4.9,
  "crystal_system": "orthorhombic"
}

---

Run C
{
  "formula": "Sc3TlS",
  "functional": "PBE",
  "state": "optimized geometry",
  "lattice": [[6.211, -5.376, 0.000], [6.211, 5.376, 0.000], [-1.988, 0.000, 6.826]],
  "species": ["Sc", "Sc", "Sc", "Sc", "Sc", "Sc", "Sc", "Sc", "Sc", "Sc", "Sc", "Sc", "Tl", "Tl", "Tl", "Tl", "S", "S", "S", "S"],
  "frac_coords": [[0.024, 0.680, 0.430], [0.026, 0.689, 0.928], [0.311, 0.974, 0.572], [0.320, 0.976, 0.070], [0.349, 0.351, 0.427], [0.351, 0.349, 0.927], [0.649, 0.651, 0.073], [0.651, 0.649, 0.573], [0.680, 0.024, 0.930], [0.689, 0.026, 0.428], [0.974, 0.311, 0.072], [0.976, 0.320, 0.570], [0.008, 0.992, 0.250], [0.342, 0.658, 0.750], [0.658, 0.342, 0.250], [0.992, 0.008, 0.750], [0.187, 0.517, 0.177], [0.483, 0.813, 0.323], [0.517, 0.187, 0.677], [0.813, 0.483, 0.823]],
  "spacegroup": "C2/c",
  "rho_g_cm3": 5.4,
  "crystal_system": "monoclinic"
}

---

Which is most stable? The ranking, best first, is run C, run A, run B.

---

Run A
{
  "formula": "Sc3TlS",
  "functional": "PBE",
  "state": "optimized geometry",
  "lattice": [[8.404, -1.803, 0.000], [8.404, 1.803, 0.000], [-2.756, 0.000, 8.426]],
  "species": ["Sc", "Sc", "Sc", "Sc", "Sc", "Sc", "Tl", "Tl", "S", "S"],
  "frac_coords": [[0.063, 0.063, 0.175], [0.181, 0.181, 0.559], [0.303, 0.303, 0.914], [0.697, 0.697, 0.086], [0.819, 0.819, 0.441], [0.937, 0.937, 0.825], [0.106, 0.106, 0.814], [0.894, 0.894, 0.186], [0.345, 0.345, 0.650], [0.655, 0.655, 0.350]],
  "spacegroup": "C2/m",
  "rho_g_cm3": 4.8,
  "crystal_system": "monoclinic"
}

---

Run B
{
  "formula": "Sc3TlS",
  "functional": "PBE",
  "state": "optimized geometry",
  "lattice": [[6.814, 0.000, 0.000], [0.000, 3.753, 0.000], [-2.264, 0.000, 8.748]],
  "species": ["Sc", "Sc", "Sc", "Sc", "Sc", "Sc", "Tl", "Tl", "S", "S"],
  "frac_coords": [[0.056, 0.250, 0.350], [0.287, 0.250, 0.925], [0.432, 0.750, 0.642], [0.568, 0.250, 0.358], [0.713, 0.750, 0.075], [0.944, 0.750, 0.650], [0.252, 0.750, 0.173], [0.748, 0.250, 0.827], [0.187, 0.250, 0.636], [0.813, 0.750, 0.364]],
  "spacegroup": "P2_1/m",
  "rho_g_cm3": 5.5,
  "crystal_system": "monoclinic"
}

---

Which is most stable? The ranking, best first, is run B, run A.

---

Run A
{
  "formula": "Sc3TlS",
  "functional": "PBE",
  "state": "optimized geometry",
  "lattice": [[6.063, -1.816, 0.000], [6.063, 1.816, 0.000], [-1.902, 0.000, 10.001]],
  "species": ["Sc", "Sc", "Sc", "Sc", "Sc", "Sc", "Tl", "Tl", "S", "S"],
  "frac_coords": [[0.000, 0.000, 0.000], [0.198, 0.198, 0.502], [0.223, 0.223, 0.881], [0.511, 0.511, 0.301], [0.541, 0.541, 0.691], [0.758, 0.758, 0.176], [0.836, 0.836, 0.727], [0.905, 0.905, 0.463], [0.131, 0.131, 0.238], [0.378, 0.378, 0.082]],
  "spacegroup": "Cm",
  "rho_g_cm3": 5.6,
  "crystal_system": "monoclinic"
}

---

Run B
{
  "formula": "Sc3TlS",
  "functional": "PBE",
  "state": "optimized geometry",
  "lattice": [[3.336, 0.000, 0.000], [0.000, 5.578, 0.000], [0.000, 0.000, 15.197]],
  "species": ["Sc", "Sc", "Sc", "Sc", "Sc", "Sc", "Tl", "Tl", "S", "S"],
  "frac_coords": [[0.000, 0.000, 0.000], [0.000, 0.500, 0.500], [0.500, 0.248, 0.350], [0.500, 0.252, 0.850], [0.500, 0.748, 0.850], [0.500, 0.752, 0.350], [0.500, 0.000, 0.171], [0.500, 0.500, 0.671], [0.000, 0.000, 0.447], [0.000, 0.500, 0.947]],
  "spacegroup": "Amm2",
  "rho_g_cm3": 4.4,
  "crystal_system": "orthorhombic"
}

---

Which is most stable? The ranking, best first, is run A, run B.

---

Run A
{
  "formula": "ScTlS3",
  "functional": "PBE",
  "state": "optimized geometry",
  "lattice": [[7.894, -2.505, 0.000], [7.894, 2.505, 0.000], [-1.891, 0.000, 6.662]],
  "species": ["Sc", "Sc", "Tl", "Tl", "S", "S", "S", "S", "S", "S"],
  "frac_coords": [[0.000, 0.000, 0.000], [0.000, 0.000, 0.500], [0.274, 0.274, 0.741], [0.726, 0.726, 0.259], [0.123, 0.123, 0.328], [0.196, 0.621, 0.193], [0.379, 0.804, 0.807], [0.621, 0.196, 0.193], [0.804, 0.379, 0.807], [0.877, 0.877, 0.672]],
  "spacegroup": "C2/m",
  "rho_g_cm3": 4.4,
  "crystal_system": "monoclinic"
}

---

Run B
{
  "formula": "ScTlS3",
  "functional": "PBE",
  "state": "optimized geometry",
  "lattice": [[6.735, 0.000, 0.000], [-3.298, 5.878, 0.000], [-1.512, -2.518, 6.216]],
  "species": ["Sc", "Sc", "Tl", "Tl", "S", "S", "S", "S", "S", "S"],
  "frac_coords": [[0.176, 0.324, 0.001], [0.824, 0.676, 0.999], [0.350, 0.854, 0.672], [0.650, 0.146, 0.328], [0.029, 0.896, 0.769], [0.237, 0.735, 0.247], [0.395, 0.535, 0.774], [0.605, 0.465, 0.226], [0.763, 0.265, 0.753], [0.971, 0.104, 0.231]],
  "spacegroup": "P-1",
  "rho_g_cm3": 4.7,
  "crystal_system": "triclinic"
}

---

Run C
{
  "formula": "ScTlS3",
  "functional": "PBE",
  "state": "optimized geometry",
  "lattice": [[5.021, 0.000, 0.000], [0.000, 5.021, 0.000], [0.000, 0.000, 5.021]],
  "species": ["Sc", "Tl", "S", "S", "S"],
  "frac_coords": [[0.000, 0.000, 0.000], [0.500, 0.500, 0.500], [0.000, 0.500, 0.500], [0.500, 0.000, 0.500], [0.500, 0.500, 0.000]],
  "spacegroup": "Pm-3m",
  "rho_g_cm3": 4.5,
  "crystal_system": "cubic"
}

---

Which is most stable? The ranking, best first, is run B, run A, run C.

---

Run A
{
  "formula": "ScTl3S",
  "functional": "PBE",
  "state": "optimized geometry",
  "lattice": [[5.459, 0.000, 0.000], [0.000, 5.459, 0.000], [0.000, 0.000, 5.459]],
  "species": ["Sc", "Tl", "Tl", "Tl", "S"],
  "frac_coords": [[0.000, 0.000, 0.000], [0.000, 0.500, 0.500], [0.500, 0.000, 0.500], [0.500, 0.500, 0.000], [0.500, 0.500, 0.500]],
  "spacegroup": "Pm-3m",
  "rho_g_cm3": 7.0,
  "crystal_system": "cubic"
}

---

Run B
{
  "formula": "ScTl3S",
  "functional": "PBE",
  "state": "optimized geometry",
  "lattice": [[5.675, 0.000, 0.000], [0.000, 5.675, 0.000], [0.000, 0.000, 5.675]],
  "species": ["Sc", "Tl", "Tl", "Tl", "S"],
  "frac_coords": [[0.000, 0.000, 0.000], [0.000, 0.000, 0.500], [0.000, 0.500, 0.000], [0.500, 0.000, 0.000], [0.500, 0.500, 0.500]],
  "spacegroup": "Pm-3m",
  "rho_g_cm3": 6.3,
  "crystal_system": "cubic"
}

---

Which is most stable? The ranking, best first, is run A, run B.

---

Run A
{
  "formula": "TmSc3S6",
  "functional": "PBE",
  "state": "optimized geometry",
  "lattice": [[3.278, 1.892, 5.933], [-3.278, 1.892, 5.933], [0.000, -3.785, 5.933]],
  "species": ["Tm", "Sc", "Sc", "Sc", "S", "S", "S", "S", "S", "S"],
  "frac_coords": [[0.000, 0.000, 0.000], [0.195, 0.195, 0.195], [0.504, 0.504, 0.504], [0.697, 0.697, 0.697], [0.098, 0.792, 0.416], [0.308, 0.582, 0.911], [0.416, 0.098, 0.792], [0.582, 0.911, 0.308], [0.792, 0.416, 0.098], [0.911, 0.308, 0.582]],
  "spacegroup": "R3",
  "rho_g_cm3": 3.7,
  "crystal_system": "trigonal"
}

---

Run B
{
  "formula": "TmSc3S6",
  "functional": "PBE",
  "state": "optimized geometry",
  "lattice": [[10.610, 0.000, 0.000], [0.000, 3.746, 0.000], [-3.603, 0.000, 10.173]],
  "species": ["Tm", "Tm", "Sc", "Sc", "Sc", "Sc", "Sc", "Sc", "S", "S", "S", "S", "S", "S", "S", "S", "S", "S", "S", "S"],
  "frac_coords": [[0.047, 0.250, 0.196], [0.953, 0.750, 0.804], [0.160, 0.250, 0.586], [0.317, 0.750, 0.000], [0.438, 0.250, 0.334], [0.562, 0.750, 0.666], [0.683, 0.250, 0.000], [0.840, 0.750, 0.414], [0.081, 0.750, 0.406], [0.115, 0.250, 0.965], [0.198, 0.750, 0.750], [0.262, 0.750, 0.228], [0.394, 0.250, 0.560], [0.475, 0.250, 0.113], [0.525, 0.750, 0.887], [0.606, 0.750, 0.440], [0.738, 0.250, 0.772], [0.802, 0.250, 0.250], [0.885, 0.750, 0.035], [0.919, 0.250, 0.594]],
  "spacegroup": "P2_1/m",
  "rho_g_cm3": 4.1,
  "crystal_system": "monoclinic"
}

---

Which is most stable? The ranking, best first, is run B, run A.

---

Run A
{
  "formula": "TmSc2S",
  "functional": "PBE",
  "state": "optimized geometry",
  "lattice": [[3.520, 0.000, 0.000], [-1.760, 3.048, 0.000], [0.000, 0.000, 26.084]],
  "species": ["Tm", "Tm", "Tm", "Sc", "Sc", "Sc", "Sc", "Sc", "Sc", "S", "S", "S"],
  "frac_coords": [[0.000, 0.000, 0.000], [0.333, 0.667, 0.667], [0.667, 0.333, 0.333], [0.000, 0.000, 0.226], [0.000, 0.000, 0.774], [0.333, 0.667, 0.440], [0.333, 0.667, 0.893], [0.667, 0.333, 0.107], [0.667, 0.333, 0.560], [0.000, 0.000, 0.500], [0.333, 0.667, 0.167], [0.667, 0.333, 0.833]],
  "spacegroup": "R-3m",
  "rho_g_cm3": 5.2,
  "crystal_system": "trigonal"
}

---

Run B
{
  "formula": "TmSc2S",
  "functional": "PBE",
  "state": "optimized geometry",
  "lattice": [[3.549, 0.000, 0.000], [-1.774, 3.073, 0.000], [0.000, 0.000, 25.577]],
  "species": ["Tm", "Tm", "Tm", "Sc", "Sc", "Sc", "Sc", "Sc", "Sc", "S", "S", "S"],
  "frac_coords": [[0.000, 0.000, 0.000], [0.333, 0.667, 0.667], [0.667, 0.333, 0.333], [0.000, 0.000, 0.226], [0.000, 0.000, 0.440], [0.333, 0.667, 0.107], [0.333, 0.667, 0.893], [0.667, 0.333, 0.559], [0.667, 0.333, 0.773], [0.000, 0.000, 0.833], [0.333, 0.667, 0.500], [0.667, 0.333, 0.167]],
  "spacegroup": "R3m",
  "rho_g_cm3": 5.2,
  "crystal_system": "trigonal"
}

---

Which is most stable? The ranking, best first, is run B, run A.

---

Run A
{
  "formula": "TmSc3S4",
  "functional": "PBE",
  "state": "optimized geometry",
  "lattice": [[7.494, 0.000, 0.000], [0.000, 10.560, 0.000], [0.000, 0.000, 3.718]],
  "species": ["Tm", "Tm", "Sc", "Sc", "Sc", "Sc", "Sc", "Sc", "S", "S", "S", "S", "S", "S", "S", "S"],
  "frac_coords": [[0.000, 0.000, 0.000], [0.500, 0.500, 0.000], [0.000, 0.500, 0.000], [0.250, 0.250, 0.500], [0.250, 0.750, 0.500], [0.500, 0.000, 0.000], [0.750, 0.250, 0.500], [0.750, 0.750, 0.500], [0.000, 0.254, 0.000], [0.000, 0.746, 0.000], [0.243, 0.500, 0.500], [0.257, 0.000, 0.500], [0.500, 0.246, 0.000], [0.500, 0.754, 0.000], [0.743, 0.000, 0.500], [0.757, 0.500, 0.500]],
  "spacegroup": "Cmmm",
  "rho_g_cm3": 4.9,
  "crystal_system": "orthorhombic"
}

---

Run B
{
  "formula": "TmSc3S4",
  "functional": "PBE",
  "state": "optimized geometry",
  "lattice": [[5.286, 0.000, 0.000], [0.000, 5.286, 0.000], [0.000, 0.000, 5.286]],
  "species": ["Tm", "Sc", "Sc", "Sc", "S", "S", "S", "S"],
  "frac_coords": [[0.000, 0.000, 0.000], [0.000, 0.500, 0.500], [0.500, 0.000, 0.500], [0.500, 0.500, 0.000], [0.000, 0.000, 0.500], [0.000, 0.500, 0.000], [0.500, 0.000, 0.000], [0.500, 0.500, 0.500]],
  "spacegroup": "Pm-3m",
  "rho_g_cm3": 4.9,
  "crystal_system": "cubic"
}

---

Which is most stable? The ranking, best first, is run A, run B.

---

Run A
{
  "formula": "ScUS2",
  "functional": "PBE",
  "state": "optimized geometry",
  "lattice": [[3.663, 0.000, 0.000], [-1.832, 3.173, 0.000], [0.000, 0.000, 13.268]],
  "species": ["Sc", "Sc", "U", "U", "S", "S", "S", "S"],
  "frac_coords": [[0.333, 0.667, 0.250], [0.667, 0.333, 0.750], [0.000, 0.000, 0.000], [0.000, 0.000, 0.500], [0.333, 0.667, 0.632], [0.333, 0.667, 0.868], [0.667, 0.333, 0.132], [0.667, 0.333, 0.368]],
  "spacegroup": "P6_3/mmc",
  "rho_g_cm3": 7.5,
  "crystal_system": "hexagonal"
}

---

Run B
{
  "formula": "ScUS2",
  "functional": "PBE",
  "state": "optimized geometry",
  "lattice": [[3.647, 0.000, 0.000], [-1.824, 3.159, 0.000], [0.000, 0.000, 20.278]],
  "species": ["Sc", "Sc", "Sc", "U", "U", "U", "S", "S", "S", "S", "S", "S"],
  "frac_coords": [[0.000, 0.000, 0.000], [0.333, 0.667, 0.667], [0.667, 0.333, 0.333], [0.000, 0.000, 0.176], [0.333, 0.667, 0.842], [0.667, 0.333, 0.509], [0.000, 0.000, 0.414], [0.000, 0.000, 0.596], [0.333, 0.667, 0.081], [0.333, 0.667, 0.263], [0.667, 0.333, 0.748], [0.667, 0.333, 0.929]],
  "spacegroup": "R3m",
  "rho_g_cm3": 7.4,
  "crystal_system": "trigonal"
}

---

Run C
{
  "formula": "ScUS2",
  "functional": "PBE",
  "state": "optimized geometry",
  "lattice": [[3.707, 0.000, 0.000], [-1.853, 3.210, 0.000], [0.000, 0.000, 19.213]],
  "species": ["Sc", "Sc", "Sc", "U", "U", "U", "S", "S", "S", "S", "S", "S"],
  "frac_coords": [[0.000, 0.000, 0.000], [0.333, 0.667, 0.667], [0.667, 0.333, 0.333], [0.000, 0.000, 0.500], [0.333, 0.667, 0.167], [0.667, 0.333, 0.833], [0.000, 0.000, 0.256], [0.000, 0.000, 0.744], [0.333, 0.667, 0.410], [0.333, 0.667, 0.923], [0.667, 0.333, 0.077], [0.667, 0.333, 0.590]],
  "spacegroup": "R-3m",
  "rho_g_cm3": 7.6,
  "crystal_system": "trigonal"
}

---

Run D
{
  "formula": "ScUS2",
  "functional": "PBE",
  "state": "optimized geometry",
  "lattice": [[5.351, 0.000, 0.000], [0.000, 5.351, 0.000], [0.000, 0.000, 10.695]],
  "species": ["Sc", "Sc", "Sc", "Sc", "U", "U", "U", "U", "S", "S", "S", "S", "S", "S", "S", "S"],
  "frac_coords": [[0.000, 0.250, 0.375], [0.000, 0.750, 0.625], [0.500, 0.250, 0.125], [0.500, 0.750, 0.875], [0.000, 0.250, 0.875], [0.000, 0.750, 0.125], [0.500, 0.250, 0.625], [0.500, 0.750, 0.375], [0.000, 0.250, 0.131], [0.000, 0.250, 0.619], [0.000, 0.750, 0.381], [0.000, 0.750, 0.869], [0.500, 0.250, 0.369], [0.500, 0.250, 0.881], [0.500, 0.750, 0.119], [0.500, 0.750, 0.631]],
  "spacegroup": "I4_1/amd",
  "rho_g_cm3": 7.5,
  "crystal_system": "tetragonal"
}

---

Which is most stable? The ranking, best first, is run C, run D, run B, run A.